(1)
La3Ho8Tm3 (PBE, optimized geometry); space-group type = Immm (71); total energy = -63.33 eV/f.u.; calculated formation energy = 10 kJ per mole of atoms; DOS at the Fermi energy = 1.68 states/eV per atom
1.0
-2.687 -1.759 4.663
-7.344 -5.617 -2.915
5.841 -6.364 4.402
Ho La Tm
8 3 3
direct
0.338 0.881 0.443 Ho
0.338 0.443 0.881 Ho
0.842 0.760 0.557 Ho
0.662 0.119 0.557 Ho
0.158 0.443 0.240 Ho
0.842 0.557 0.760 Ho
0.158 0.240 0.443 Ho
0.662 0.557 0.119 Ho
0.000 0.185 0.815 La
0.500 0.000 0.000 La
0.000 0.815 0.185 La
0.795 0.205 0.205 Tm
0.205 0.795 0.795 Tm
0.500 0.500 0.500 Tm

(2)
SrCoTe2 (PBE, optimized geometry); space-group type = Pm (6); total energy = -17.27 eV/f.u.; DOS at the Fermi energy = 0.82 states/eV per atom
1.0
4.438 0.000 0.000
0.000 4.711 0.002
0.000 2.346 6.208
Te Sr Co
2 1 1
direct
0.000 0.109 0.909 Te
0.500 0.396 0.332 Te
0.500 0.690 0.746 Sr
0.000 0.306 0.513 Co

(3)
ZrTcCl2 (PBE, optimized geometry); space-group type = P4/mmm (123); total energy = -21.81 eV/f.u.; DOS at the Fermi energy = 0.89 states/eV per atom; distance to the lowest polymorph of the same formula = 72.7 kJ per mole of atoms
1.0
4.218 -0.012 0.000
0.012 4.218 0.000
0.000 0.000 3.724
Cl Tc Zr
2 1 1
direct
0.500 0.500 0.000 Cl
0.000 0.000 0.000 Cl
0.500 0.000 0.500 Tc
0.000 0.500 0.500 Zr

(4)
LiCr2CdCl (PBE, optimized geometry); space-group type = P4/mmm (123); total energy = -19.67 eV/f.u.; DOS at the Fermi energy = 0.27 states/eV per atom
1.0
-3.077 4.133 0.857
-2.641 -0.893 -5.175
-3.509 -3.094 2.324
Cr Cl Cd Li
2 1 1 1
direct
0.500 0.000 0.000 Cr
0.000 0.000 0.500 Cr
0.000 0.500 0.000 Cl
0.000 0.000 0.000 Cd
0.500 0.500 0.500 Li

(5)
BaTe2P2 (PBE, optimized geometry); space-group type = I4/mmm (139); total energy = -20.54 eV/f.u.; DOS at the Fermi energy = 0.56 states/eV per atom
1.0
-2.065 1.130 4.083
0.043 -4.536 1.278
4.874 -0.873 5.427
Ba Te P
1 2 2
direct
0.000 0.000 0.000 Ba
0.750 0.250 0.500 Te
0.250 0.750 0.500 Te
0.422 0.422 0.156 P
0.578 0.578 0.844 P

(6)
Tb5NdSm12 (PBE, optimized geometry); space-group type = C2/m (12); total energy = -84.29 eV/f.u.; calculated formation energy = 1 kJ per mole of atoms; DOS at the Fermi energy = 1.26 states/eV per atom
1.0
10.842 0.000 -0.002
5.421 9.332 0.933
0.001 1.462 6.076
Sm Tb Nd
12 5 1
direct
0.501 0.667 0.499 Sm
0.833 0.667 0.500 Sm
0.167 0.000 0.500 Sm
0.833 0.000 0.500 Sm
0.167 0.333 0.500 Sm
0.999 0.334 0.999 Sm
0.665 0.000 0.000 Sm
0.334 0.666 0.000 Sm
0.335 0.000 0.000 Sm
0.499 0.333 0.501 Sm
0.666 0.334 0.000 Sm
0.001 0.666 0.001 Sm
0.833 0.335 0.498 Tb
0.333 0.333 0.000 Tb
0.167 0.665 0.502 Tb
0.500 0.000 0.500 Tb
0.667 0.667 0.000 Tb
0.000 0.000 0.000 Nd

(7)
Nb3Mo2Ir (PBE, optimized geometry); space-group type = Cmmm (65); total energy = -62.40 eV/f.u.; calculated formation energy = -27 kJ per mole of atoms; DOS at the Fermi energy = 0.56 states/eV per atom
1.0
3.253 0.000 0.000
0.000 4.546 0.000
0.000 0.000 13.567
Mo Nb Ir
4 6 2
direct
0.000 0.000 0.664 Mo
0.000 0.000 0.336 Mo
0.000 0.500 0.164 Mo
0.000 0.500 0.836 Mo
0.500 0.500 0.000 Nb
0.500 0.000 0.500 Nb
0.500 0.500 0.669 Nb
0.500 0.000 0.169 Nb
0.500 0.000 0.831 Nb
0.500 0.500 0.331 Nb
0.000 0.500 0.500 Ir
0.000 0.000 0.000 Ir

(8)
LiMg2Ga (PBE, optimized geometry); space-group type = I-42d (122); total energy = -7.79 eV/f.u.; calculated formation energy = 8 kJ per mole of atoms; DOS at the Fermi energy = 0.31 states/eV per atom
1.0
-6.735 3.796 0.259
0.254 -0.076 7.731
-1.808 4.403 3.973
Ga Mg Li
2 4 2
direct
0.000 0.000 0.000 Ga
0.750 0.250 0.500 Ga
0.638 0.125 0.250 Mg
0.375 0.362 0.750 Mg
0.875 0.888 0.750 Mg
0.112 0.625 0.250 Mg
0.250 0.750 0.500 Li
0.500 0.500 0.000 Li